(1)
First-principles (PBEsol) data for a geometry-optimized Ba8Mg structure, as listed in the Alexandria database.

Values from the calculation:
The calculation puts the formation energy at 0.040 eV/atom. The space-group type is I4/mmm (139).

Structure (POSCAR):
```
Ba8Mg
1.0
-6.207 6.207 3.128
6.207 -6.207 3.128
6.207 6.207 -3.128
Ba Mg
8 1
Cartesian
3.961 0.000 0.000
8.452 0.000 0.000
0.000 3.961 0.000
4.223 4.223 0.000
1.983 -1.983 3.128
-1.983 1.983 3.128
1.983 1.983 3.128
0.000 8.452 0.000
0.000 0.000 0.000
```


(2)
First-principles (PBEsol) data for a geometry-optimized BaMg4 structure, as listed in the Alexandria database.

Values from the calculation:
The calculation puts the formation energy at 0.019 eV/atom. Its offset from the most stable computed form is 37 meV/atom. The space-group type is I4/mmm (139).

Structure (POSCAR):
```
BaMg4
1.0
-2.395 2.395 6.771
2.395 -2.395 6.771
2.395 2.395 -6.771
Ba Mg
1 4
Cartesian
0.000 0.000 0.000
2.395 0.000 3.385
0.000 0.000 5.262
0.000 0.000 8.280
0.000 2.395 3.385
```